# 1
A plane-wave DFT calculation with PBE was carried out for crystalline Nd2DyHo6Tm at its relaxed geometry.

abc: 9.655 8.738 8.738
angles: 118.09 94.60 94.60
Positions (direct):
Nd  0.457  0.806  0.702
Nd  0.043  0.298  0.194
Nd  0.543  0.194  0.298
Nd  0.957  0.702  0.806
Dy  0.250  0.982  0.018
Dy  0.750  0.018  0.982
Ho  0.057  0.125  0.745
Ho  0.443  0.255  0.875
Ho  0.943  0.875  0.255
Ho  0.557  0.745  0.125
Ho  0.312  0.979  0.425
Ho  0.188  0.575  0.021
Ho  0.688  0.021  0.575
Ho  0.812  0.425  0.979
Ho  0.119  0.708  0.496
Ho  0.381  0.504  0.292
Ho  0.881  0.292  0.504
Ho  0.619  0.496  0.708
Tm  0.250  0.407  0.593
Tm  0.750  0.593  0.407

The value obtained for the total energy is -89.82 eV per cell. The calculated density is 8.32 g/cm³.

# 2
A plane-wave DFT calculation with PBE was carried out for crystalline MgSc2As2 at its relaxed geometry.

abc: 7.610 7.610 3.530
angles: 90.00 90.00 90.00
Positions (direct):
Sc  0.359  0.859  0.000
Sc  0.859  0.641  0.000
Sc  0.641  0.141  0.000
Sc  0.141  0.359  0.000
As  0.162  0.662  0.500
As  0.662  0.838  0.500
As  0.838  0.338  0.500
As  0.338  0.162  0.500
Mg  0.000  0.000  0.000
Mg  0.500  0.500  0.000

The value obtained for the total energy is -54.39 eV per cell. The calculated density is 4.29 g/cm³.

# 3
A plane-wave DFT calculation with PBE was carried out for crystalline La4PrTm2Sc at its relaxed geometry.

abc: 5.912 9.715 5.912
angles: 52.51 90.00 90.00
Positions (direct):
La  0.000  0.752  0.749
La  0.000  0.248  0.251
La  0.500  0.750  0.250
La  0.500  0.250  0.750
Pr  0.500  0.500  0.000
Tm  0.000  0.000  0.000
Tm  0.500  0.000  0.500
Sc  0.000  0.500  0.500

The value obtained for the total energy is -39.06 eV per cell. The calculated density is 6.65 g/cm³.

# 4
A plane-wave DFT calculation with PBE was carried out for crystalline La2Ga12Pd at its relaxed geometry.

abc: 6.223 6.223 15.555
angles: 90.00 90.00 90.00
Positions (direct):
La  0.000  0.500  0.757
La  0.000  0.500  0.243
La  0.500  0.000  0.757
La  0.500  0.000  0.243
Ga  0.250  0.250  0.912
Ga  0.750  0.750  0.912
Ga  0.329  0.829  0.431
Ga  0.171  0.671  0.569
Ga  0.250  0.750  0.912
Ga  0.829  0.671  0.431
Ga  0.000  0.000  0.654
Ga  0.671  0.171  0.431
Ga  0.329  0.171  0.569
Ga  0.000  0.000  0.815
Ga  0.500  0.500  0.346
Ga  0.829  0.329  0.569
Ga  0.671  0.829  0.569
Ga  0.000  0.000  0.185
Ga  0.750  0.750  0.088
Ga  0.500  0.500  0.654
Ga  0.750  0.250  0.912
Ga  0.250  0.250  0.088
Ga  0.250  0.750  0.088
Ga  0.500  0.500  0.185
Ga  0.171  0.329  0.431
Ga  0.500  0.500  0.815
Ga  0.750  0.250  0.088
Ga  0.000  0.000  0.346
Pd  0.000  0.500  0.000
Pd  0.500  0.000  0.000

The value obtained for the total energy is -116.65 eV per cell. The calculated density is 6.73 g/cm³.

# 5
A plane-wave DFT calculation with PBE was carried out for crystalline TbGeRuO at its relaxed geometry.

abc: 4.105 4.105 8.038
angles: 90.00 90.00 90.00
Positions (direct):
Tb  0.500  0.000  0.630
Tb  0.000  0.500  0.370
Ge  0.000  0.500  0.840
Ge  0.500  0.000  0.160
Ru  0.500  0.500  0.000
Ru  0.000  0.000  0.000
O  0.000  0.000  0.500
O  0.500  0.500  0.500

The value obtained for the total energy is -60.33 eV per cell. The uncorrected formation energy comes out at -1671 meV per atom. The calculated density is 8.55 g/cm³.

# 6
A plane-wave DFT calculation with PBE was carried out for crystalline Na2AlPd at its relaxed geometry.

abc: 3.813 3.813 11.303
angles: 80.29 80.29 90.00
Positions (direct):
Na  0.634  0.125  0.250
Na  0.116  0.625  0.250
Na  0.375  0.366  0.750
Na  0.875  0.884  0.750
Al  0.500  0.500  0.000
Al  0.250  0.750  0.500
Pd  0.000  0.000  0.000
Pd  0.750  0.250  0.500

The value obtained for the total energy is -22.80 eV per cell. The calculated density is 3.73 g/cm³.

# 7
A plane-wave DFT calculation with PBE was carried out for crystalline CeSc2RuN4 at its relaxed geometry.

abc: 3.285 5.876 10.965
angles: 90.00 90.00 106.23
Positions (direct):
Ce  0.116  0.232  0.750
Ce  0.884  0.768  0.250
Sc  0.371  0.741  0.543
Sc  0.629  0.259  0.043
Sc  0.629  0.259  0.457
Sc  0.371  0.741  0.957
Ru  0.857  0.714  0.750
Ru  0.143  0.286  0.250
N  0.268  0.536  0.121
N  0.732  0.464  0.621
N  0.732  0.464  0.879
N  0.268  0.536  0.379
N  0.000  0.000  0.500
N  0.000  0.000  0.000
N  0.457  0.914  0.750
N  0.543  0.086  0.250

The value obtained for the total energy is -140.44 eV per cell. The uncorrected formation energy comes out at -1130 meV per atom. The calculated density is 6.33 g/cm³.

# 8
A plane-wave DFT calculation with PBE was carried out for crystalline BaSr2Si2 at its relaxed geometry.

abc: 4.683 5.682 12.963
angles: 96.71 90.00 90.00
Positions (direct):
Ba  0.250  0.662  0.237
Ba  0.750  0.338  0.763
Sr  0.250  0.853  0.885
Sr  0.750  0.147  0.115
Sr  0.250  0.252  0.511
Sr  0.750  0.748  0.489
Si  0.250  0.788  0.647
Si  0.750  0.212  0.353
Si  0.250  0.385  0.986
Si  0.750  0.615  0.014

The value obtained for the total energy is -34.98 eV per cell. The uncorrected formation energy comes out at -272 meV per atom. The calculated density is 3.57 g/cm³. The calculation puts the offset from the most stable computed form at 15 meV/atom.

# 9
A plane-wave DFT calculation with PBE was carried out for crystalline Pr8Dy5Pu at its relaxed geometry.

abc: 8.716 8.693 8.716
angles: 97.03 118.53 113.66
Positions (direct):
Pr  0.076  0.674  0.909
Pr  0.049  0.034  0.618
Pr  0.819  0.298  0.457
Pr  0.622  0.361  0.913
Pr  0.552  0.639  0.261
Pr  0.584  0.966  0.015
Pr  0.235  0.326  0.403
Pr  0.159  0.702  0.521
Dy  0.955  0.241  0.908
Dy  0.947  0.859  0.170
Dy  0.667  0.759  0.715
Dy  0.459  0.000  0.459
Dy  0.311  0.141  0.088
Pu  0.313  0.500  0.813

The value obtained for the total energy is -72.60 eV per cell. The calculated density is 7.41 g/cm³.

# 10
A plane-wave DFT calculation with PBE was carried out for crystalline AlTc at its relaxed geometry.

abc: 2.859 4.138 2.853
angles: 90.00 119.94 90.00
Positions (direct):
Tc  0.928  0.000  0.805
Al  0.263  0.500  0.473

The value obtained for the total energy is -14.63 eV per cell. The calculated density is 7.10 g/cm³. The calculation puts the offset from the most stable computed form at 150 meV/atom.

# 11
A plane-wave DFT calculation with PBE was carried out for crystalline AcMg3Cd4 at its relaxed geometry.

abc: 4.953 4.953 8.743
angles: 90.00 90.00 90.00
Positions (direct):
Ac  0.000  0.000  0.500
Mg  0.000  0.000  0.000
Mg  0.500  0.500  0.340
Mg  0.500  0.500  0.660
Cd  0.000  0.500  0.176
Cd  0.000  0.500  0.824
Cd  0.500  0.000  0.824
Cd  0.500  0.000  0.176

The value obtained for the total energy is -13.12 eV per cell. The calculated density is 5.80 g/cm³.

# 12
A plane-wave DFT calculation with PBE was carried out for crystalline SbOsPt2 at its relaxed geometry.

abc: 4.931 4.931 4.735
angles: 82.08 82.08 36.43
Positions (direct):
Os  0.250  0.250  0.250
Pt  0.986  0.986  0.016
Pt  0.514  0.514  0.484
Sb  0.750  0.750  0.750

The value obtained for the total energy is -26.37 eV per cell. The uncorrected formation energy comes out at 267 meV per atom. The calculated density is 17.24 g/cm³.

# 13
A plane-wave DFT calculation with PBE was carried out for crystalline Hf12NbSn6 at its relaxed geometry.

abc: 7.945 7.945 7.945
angles: 100.88 100.88 100.88
Positions (direct):
Hf  0.781  0.602  0.485
Hf  0.485  0.781  0.602
Hf  0.602  0.485  0.781
Hf  0.219  0.398  0.515
Hf  0.515  0.219  0.398
Hf  0.398  0.515  0.219
Hf  0.049  0.006  0.331
Hf  0.994  0.669  0.951
Hf  0.669  0.951  0.994
Hf  0.951  0.994  0.669
Hf  0.006  0.331  0.049
Hf  0.331  0.049  0.006
Nb  0.000  0.000  0.000
Sn  0.657  0.892  0.336
Sn  0.664  0.343  0.108
Sn  0.108  0.664  0.343
Sn  0.343  0.108  0.664
Sn  0.336  0.657  0.892
Sn  0.892  0.336  0.657

The value obtained for the total energy is -149.76 eV per cell. The calculated density is 10.40 g/cm³.

# 14
A plane-wave DFT calculation with PBE was carried out for crystalline CaMgAu2 at its relaxed geometry.

abc: 4.557 3.691 5.693
angles: 70.35 90.00 90.00
Positions (direct):
Ca  0.000  0.476  0.416
Au  0.000  0.214  0.956
Au  0.500  0.042  0.288
Mg  0.500  0.768  0.839

The value obtained for the total energy is -12.75 eV per cell. The calculated density is 8.44 g/cm³.

# 15
A plane-wave DFT calculation with PBE was carried out for crystalline Sc3TlNi at its relaxed geometry.

abc: 4.961 7.114 7.114
angles: 120.00 90.00 90.00
Positions (direct):
Sc  0.250  0.819  0.181
Sc  0.750  0.181  0.819
Sc  0.250  0.819  0.637
Sc  0.750  0.181  0.363
Sc  0.250  0.363  0.181
Sc  0.750  0.637  0.819
Tl  0.250  0.333  0.667
Tl  0.750  0.667  0.333
Ni  0.000  0.000  0.000
Ni  0.500  0.000  0.000

The value obtained for the total energy is -57.19 eV per cell. The calculated density is 6.08 g/cm³. The calculation puts the offset from the most stable computed form at 9 meV/atom.

# 16
A plane-wave DFT calculation with PBE was carried out for crystalline BiTeRhO6 at its relaxed geometry.

abc: 5.309 5.309 10.006
angles: 90.00 90.00 120.00
Positions (direct):
Bi  0.000  0.000  0.000
Bi  0.000  0.000  0.500
Te  0.667  0.333  0.250
Te  0.333  0.667  0.750
Rh  0.333  0.667  0.250
Rh  0.667  0.333  0.750
O  0.640  0.631  0.140
O  0.991  0.360  0.140
O  0.360  0.991  0.640
O  0.009  0.640  0.860
O  0.369  0.360  0.360
O  0.991  0.631  0.360
O  0.631  0.991  0.860
O  0.640  0.009  0.360
O  0.009  0.369  0.640
O  0.369  0.009  0.140
O  0.631  0.640  0.640
O  0.360  0.369  0.860

The value obtained for the total energy is -106.88 eV per cell. The uncorrected formation energy comes out at -1035 meV per atom. The calculated density is 7.28 g/cm³.

# 17
A plane-wave DFT calculation with PBE was carried out for crystalline UPaNb at its relaxed geometry.

abc: 3.538 3.538 5.652
angles: 108.24 108.24 90.00
Positions (direct):
Nb  0.326  0.326  0.652
Pa  0.011  0.011  0.023
U  0.663  0.663  0.325

The value obtained for the total energy is -30.55 eV per cell. The calculated density is 14.71 g/cm³. The calculation puts the offset from the most stable computed form at 0 meV/atom.

# 18
A plane-wave DFT calculation with PBE was carried out for crystalline NaTmS at its relaxed geometry.

abc: 3.785 3.785 12.246
angles: 72.07 72.07 89.99
Positions (direct):
Na  0.020  0.020  0.262
Na  0.734  0.734  0.046
S  0.761  0.761  0.519
S  0.992  0.992  0.788
Tm  0.237  0.237  0.543
Tm  0.516  0.516  0.764

The value obtained for the total energy is -26.93 eV per cell. The uncorrected formation energy comes out at -1183 meV per atom. The calculated density is 4.71 g/cm³.

# 19
A plane-wave DFT calculation with PBE was carried out for crystalline Co2RuCl at its relaxed geometry.

abc: 4.292 4.292 4.292
angles: 60.00 60.00 60.00
Positions (direct):
Ru  0.500  0.500  0.500
Co  0.250  0.250  0.250
Co  0.750  0.750  0.750
Cl  0.000  0.000  0.000

The value obtained for the total energy is -21.61 eV per cell. The uncorrected formation energy comes out at 932 meV per atom. The calculated density is 7.56 g/cm³. The calculation puts the offset from the most stable computed form at 580 meV/atom.

# 20
A plane-wave DFT calculation with PBE was carried out for crystalline Ca2HgAu3 at its relaxed geometry.

abc: 6.023 6.023 8.983
angles: 103.46 103.46 107.80
Positions (direct):
Ca  0.250  0.750  0.500
Ca  0.754  0.754  0.000
Ca  0.750  0.250  0.500
Ca  0.246  0.246  0.000
Hg  0.666  0.666  0.332
Hg  0.334  0.334  0.668
Au  0.333  0.835  0.168
Au  0.165  0.667  0.832
Au  0.667  0.165  0.832
Au  0.835  0.333  0.168
Au  0.164  0.164  0.329
Au  0.836  0.836  0.671

The value obtained for the total energy is -35.90 eV per cell. The calculated density is 10.15 g/cm³. The calculation puts the offset from the most stable computed form at 19 meV/atom.

# 21
A plane-wave DFT calculation with PBE was carried out for crystalline Sm2YZn2Ga2 at its relaxed geometry.

abc: 4.448 4.448 9.787
angles: 76.87 76.87 60.00
Positions (direct):
Sm  0.125  0.125  0.624
Sm  0.875  0.875  0.376
Y  0.000  0.000  0.000
Zn  0.606  0.606  0.183
Zn  0.394  0.394  0.817
Ga  0.733  0.733  0.801
Ga  0.267  0.267  0.199

The value obtained for the total energy is -27.39 eV per cell. The calculated density is 6.77 g/cm³.

# 22
A plane-wave DFT calculation with PBE was carried out for crystalline KZr2GaH at its relaxed geometry.

abc: 5.622 3.632 5.622
angles: 90.00 90.00 90.00
Positions (direct):
H  0.000  0.500  0.000
K  0.500  0.500  0.500
Ga  0.000  0.000  0.000
Zr  0.000  0.000  0.500
Zr  0.500  0.000  0.000

The value obtained for the total energy is -19.28 eV per cell. The calculated density is 4.23 g/cm³.

Calculated total moment, 0.00 0.00 0.00 0.00 0.00 0.00 0.00 0.00 0.44 0.00 0.00 0.00 0.00 0.00 0.00 0.00 0.00 0.00 1.42 0.00 0.00 0.10 μB/atom (same order as the records).